# 1
# TlPbCl3

A crystal of TlPbCl3 relaxed with PBEsol (SCAN, Alexandria).

a = 11.715 Å, b = 11.332 Å, c = 11.203 Å
α = 62.64°, β = 59.22°, γ = 58.14°
Positions (direct):
Tl 0.089 0.716 0.911
Tl 0.219 0.273 0.109
Tl 0.244 0.756 0.244
Tl 0.273 0.219 0.399
Tl 0.601 0.891 0.727
Tl 0.716 0.089 0.284
Tl 0.756 0.244 0.756
Tl 0.891 0.601 0.781
Pb 0.100 0.100 0.900
Pb 0.378 0.378 0.622
Pb 0.396 0.755 0.604
Pb 0.493 0.493 0.007
Pb 0.598 0.893 0.107
Pb 0.755 0.396 0.245
Pb 0.893 0.598 0.402
Pb 0.993 0.993 0.507
Cl 0.023 0.104 0.198
Cl 0.044 0.415 0.585
Cl 0.104 0.023 0.674
Cl 0.128 0.361 0.872
Cl 0.179 0.683 0.594
Cl 0.183 0.545 0.187
Cl 0.309 0.938 0.340
Cl 0.326 0.802 0.896
Cl 0.361 0.128 0.639
Cl 0.406 0.456 0.821
Cl 0.415 0.044 0.956
Cl 0.456 0.406 0.317
Cl 0.545 0.183 0.086
Cl 0.559 0.559 0.441
Cl 0.587 0.660 0.062
Cl 0.608 0.862 0.392
Cl 0.660 0.587 0.691
Cl 0.683 0.179 0.544
Cl 0.802 0.326 0.977
Cl 0.813 0.914 0.817
Cl 0.862 0.608 0.138
Cl 0.914 0.813 0.455
Cl 0.930 0.930 0.070
Cl 0.938 0.309 0.413

Computed properties:
Formation energy without anion corrections: -1.172 eV per atom

# 2
# Eu2Ni12P5

A crystal of Eu2Ni12P5 relaxed with PBEsol (SCAN, Alexandria).

a = 10.727 Å, b = 3.591 Å, c = 13.009 Å
α = 90.00°, β = 107.91°, γ = 90.00°
Positions (direct):
Eu 0.219 0.250 0.182
Eu 0.254 0.250 0.688
Eu 0.746 0.750 0.312
Eu 0.781 0.750 0.818
Ni 0.064 0.750 0.297
Ni 0.079 0.750 0.991
Ni 0.081 0.750 0.490
Ni 0.094 0.750 0.805
Ni 0.202 0.250 0.418
Ni 0.213 0.250 0.939
Ni 0.342 0.750 0.060
Ni 0.342 0.750 0.365
Ni 0.429 0.250 0.515
Ni 0.435 0.250 0.949
Ni 0.493 0.750 0.652
Ni 0.496 0.750 0.842
Ni 0.504 0.250 0.158
Ni 0.507 0.250 0.348
Ni 0.565 0.750 0.051
Ni 0.571 0.750 0.485
Ni 0.658 0.250 0.635
Ni 0.658 0.250 0.940
Ni 0.787 0.750 0.061
Ni 0.798 0.750 0.582
Ni 0.906 0.250 0.195
Ni 0.919 0.250 0.510
Ni 0.921 0.250 0.009
Ni 0.936 0.250 0.703
P 0.005 0.250 0.878
P 0.010 0.750 0.629
P 0.301 0.750 0.519
P 0.311 0.750 0.885
P 0.448 0.750 0.239
P 0.552 0.250 0.761
P 0.689 0.250 0.115
P 0.699 0.250 0.481
P 0.990 0.250 0.371
P 0.995 0.750 0.122

Computed properties:
Calculated formation energy: -0.644 eV/atom

# 3
# Ni2SbRh

A crystal of Ni2SbRh relaxed with PBEsol (SCAN, Alexandria).

a = 3.775 Å, b = 3.775 Å, c = 3.732 Å
α = 90.00°, β = 90.00°, γ = 90.00°
Positions (direct):
Ni 0.000 0.500 0.000
Ni 0.500 0.000 0.000
Sb 0.000 0.000 0.500
Rh 0.500 0.500 0.500

Computed properties:
Formation energy without anion corrections: -0.176 eV per atom

M_tot values, unit μB/cell, following the record order: 0.00; 0.80; 0.00.